A plane-wave DFT calculation with PBEsol was carried out for crystalline Li3Br at its relaxed geometry.

a = 6.9785 Å, b = 6.9785 Å, c = 6.9785 Å
α = 90.00°, β = 90.00°, γ = 90.00°
Closest atoms and distances in Å follow each position.
Sites, in units of the cell vectors:
Li (0.0000, 0.0000, 0.0000)  8 Li 3.02
Li (0.0000, 0.5000, 0.5000)  8 Li 3.02
Li (0.2500, 0.2500, 0.2500)  4 Br 3.02, 4 Li 3.02
Li (0.2500, 0.2500, 0.7500)  4 Li 3.02, 4 Br 3.02
Li (0.2500, 0.7500, 0.2500)  4 Li 3.02, 4 Br 3.02
Li (0.2500, 0.7500, 0.7500)  4 Br 3.02, 4 Li 3.02
Li (0.5000, 0.0000, 0.5000)  8 Li 3.02
Li (0.5000, 0.5000, 0.0000)  8 Li 3.02
Li (0.7500, 0.2500, 0.2500)  4 Li 3.02, 4 Br 3.02
Li (0.7500, 0.2500, 0.7500)  4 Br 3.02, 4 Li 3.02
Li (0.7500, 0.7500, 0.2500)  4 Br 3.02, 4 Li 3.02
Li (0.7500, 0.7500, 0.7500)  4 Li 3.02, 4 Br 3.02
Br (0.0000, 0.0000, 0.5000)  8 Li 3.02
Br (0.0000, 0.5000, 0.0000)  8 Li 3.02
Br (0.5000, 0.0000, 0.0000)  8 Li 3.02
Br (0.5000, 0.5000, 0.5000)  8 Li 3.02

polymorph energy (0 for the lowest one) = 267 meV per atom
mass density = 2.0 g cm⁻³
space group = Fm-3m (225)


A plane-wave DFT calculation with PBEsol was carried out for crystalline Hf3Sc4O12 at its relaxed geometry.

a = 6.1142 Å, b = 6.1183 Å, c = 17.9302 Å
α = 96.68°, β = 96.78°, γ = 99.70°
Closest atoms and distances in Å follow each position.
Sites, in units of the cell vectors:
Hf (0.0000, 0.0000, 0.0000)  6 O 2.05-2.22
Hf (0.0207, 0.0664, 0.7964)  6 O 2.03-2.16
Hf (0.1818, 0.6983, 0.5638)  6 O 2.04-2.09
Hf (0.3357, 0.3277, 0.3339)  6 O 2.03-2.21
Hf (0.5745, 0.9200, 0.1023)  6 O 2.06-2.17
Hf (0.6681, 0.6572, 0.6676)  6 O 2.03-2.20
Hf (0.7617, 0.5914, 0.8541)  6 O 2.04-2.24
Hf (0.8474, 0.3659, 0.2301)  6 O 2.03-2.08
Hf (0.9077, 0.2519, 0.4373)  6 O 2.05-2.16
Sc (0.1151, 0.8143, 0.3622)  6 O 2.06-2.20
Sc (0.1176, 0.9240, 0.1864)  6 O 2.07-2.29
Sc (0.2383, 0.5859, 0.7683)  6 O 2.07-2.28
Sc (0.2463, 0.4701, 0.9444)  6 O 2.06-2.24
Sc (0.3469, 0.3992, 0.1254)  6 O 2.06-2.21
Sc (0.4445, 0.1370, 0.6957)  6 O 2.07-2.25
Sc (0.4539, 0.2564, 0.5204)  6 O 2.07-2.25
Sc (0.5043, 0.0258, 0.8977)  6 O 2.06-2.10
Sc (0.5782, 0.8013, 0.2792)  6 O 2.06-2.25
Sc (0.6797, 0.7292, 0.4582)  6 O 2.06-2.20
Sc (0.7800, 0.4763, 0.0294)  6 O 2.06-2.26
Sc (0.9133, 0.1328, 0.6135)  6 O 2.05-2.28
O (0.0049, 0.3638, 0.3379)  3 Hf 2.06-2.10
O (0.0077, 0.6619, 0.4566)  1 Hf 2.05, 2 Sc 2.12-2.14
O (0.0102, 0.3904, 0.8392)  2 Hf 2.06-2.13, 2 Sc 2.19-2.28
O (0.0681, 0.3555, 0.5463)  2 Hf 2.06-2.07, 1 Sc 2.10
O (0.0704, 0.3466, 0.0386)  3 Sc 2.06-2.24, 1 Hf 2.11
O (0.1370, 0.2537, 0.7096)  3 Sc 2.05-2.15, 1 Hf 2.16
O (0.1494, 0.2780, 0.2069)  1 Hf 2.08, 2 Sc 2.12-2.13
O (0.2078, 0.1200, 0.9227)  2 Sc 2.07-2.10, 1 Hf 2.10
O (0.2164, 0.1438, 0.4248)  2 Sc 2.08-2.14, 2 Hf 2.13-2.21
O (0.2800, 0.0395, 0.0853)  2 Hf 2.06-2.12, 2 Sc 2.19-2.29
O (0.2922, 0.0355, 0.5838)  1 Hf 2.04, 2 Sc 2.07-2.09
O (0.3333, 0.9998, 0.7901)  1 Hf 2.03, 2 Sc 2.06-2.11
O (0.3336, 0.0038, 0.2932)  1 Hf 2.03, 3 Sc 2.12-2.20
O (0.3448, 0.7051, 0.6718)  2 Hf 2.06, 1 Sc 2.09
O (0.3680, 0.7284, 0.1712)  3 Sc 2.06-2.15, 1 Hf 2.17
O (0.3999, 0.6757, 0.3730)  3 Sc 2.06-2.25, 1 Hf 2.12
O (0.4183, 0.6749, 0.8760)  3 Sc 2.07-2.10, 1 Hf 2.31
O (0.4738, 0.6003, 0.0397)  3 Sc 2.06-2.21, 1 Hf 2.09
O (0.4847, 0.6100, 0.5413)  1 Hf 2.09, 2 Sc 2.12-2.13
O (0.5510, 0.4659, 0.7563)  2 Hf 2.04-2.20, 2 Sc 2.13-2.18
O (0.5635, 0.4519, 0.2654)  2 Hf 2.04-2.07, 1 Sc 2.11
O (0.6132, 0.3698, 0.4210)  2 Hf 2.05-2.13, 2 Sc 2.18-2.25
O (0.6250, 0.3673, 0.9196)  1 Hf 2.04, 2 Sc 2.06-2.07
O (0.6683, 0.3340, 0.6268)  1 Hf 2.03, 3 Sc 2.11-2.25
O (0.6738, 0.3328, 0.1233)  1 Hf 2.05, 2 Sc 2.11
O (0.6760, 0.0388, 0.0055)  2 Hf 2.05-2.08, 1 Sc 2.07
O (0.7036, 0.0579, 0.5053)  3 Sc 2.06-2.15, 1 Hf 2.16
O (0.7358, 0.0220, 0.2112)  2 Hf 2.06-2.07, 1 Sc 2.11
O (0.7379, 0.0100, 0.7102)  2 Sc 2.07-2.28, 2 Hf 2.13-2.16
O (0.8075, 0.9382, 0.8728)  2 Hf 2.08-2.13, 1 Sc 2.10
O (0.8080, 0.9315, 0.3738)  3 Sc 2.06-2.20, 1 Hf 2.10
O (0.8838, 0.8094, 0.0904)  2 Sc 2.07-2.15, 2 Hf 2.14-2.22
O (0.9002, 0.7838, 0.6016)  2 Hf 2.05-2.06, 1 Sc 2.11
O (0.9395, 0.7096, 0.7599)  1 Sc 2.09, 3 Hf 2.15-2.24
O (0.9615, 0.7025, 0.2509)  1 Hf 2.03, 2 Sc 2.07-2.09
O (0.9966, 0.6741, 0.9572)  2 Hf 2.05-2.15, 2 Sc 2.14-2.26

mass density = 7.0 g cm⁻³
calculated total energy = -9.96 eV/atom
space group = P1 (1)